This record from Alexandria describes a crystal of FeSeS2Cl relaxed with PBEsol. The functional is SCAN.

Cell: 4.419 4.419 4.403 Å, 90.00 90.00 90.00°
Positions (direct):
Fe (0.000, 0.000, 0.000)
Se (0.500, 0.500, 0.500)
S (0.000, 0.500, 0.000)
S (0.500, 0.000, 0.000)
Cl (0.000, 0.000, 0.500)

ρ: 4.527 g/cm3
DFT total energy: -63.8 eV per cell
Crystal system: tetragonal
Total moment: 2.3 Bohr magnetons per cell
Energy relative to the elements, uncorrected: 0.3243 eV per atom

=====

This record from Alexandria describes a crystal of Tm3Ga2Ni6 relaxed with PBEsol. The functional is SCAN.

Cell: 7.518 7.518 7.518 Å, 109.47 109.47 109.47°
Positions (direct):
Tm (0.000, 0.290, 0.290)
Tm (0.000, 0.710, 0.710)
Tm (0.290, 0.000, 0.290)
Tm (0.290, 0.290, 0.000)
Tm (0.710, 0.000, 0.710)
Tm (0.710, 0.710, 0.000)
Ga (0.000, 0.000, 0.500)
Ga (0.000, 0.500, 0.000)
Ga (0.500, 0.000, 0.000)
Ga (0.500, 0.500, 0.500)
Ni (0.000, 0.339, 0.661)
Ni (0.000, 0.661, 0.339)
Ni (0.322, 0.661, 0.661)
Ni (0.339, 0.000, 0.661)
Ni (0.339, 0.339, 0.678)
Ni (0.339, 0.661, 0.000)
Ni (0.339, 0.678, 0.339)
Ni (0.661, 0.000, 0.339)
Ni (0.661, 0.322, 0.661)
Ni (0.661, 0.339, 0.000)
Ni (0.661, 0.661, 0.322)
Ni (0.678, 0.339, 0.339)

ρ: 10.136 g/cm3
DFT total energy: -584.1 eV per cell
Crystal system: cubic
Total moment: 0.0 Bohr magnetons per cell

=====

This record from Alexandria describes a crystal of BaNiAsBr2 relaxed with PBEsol. The functional is SCAN.

Cell: 5.060 5.060 4.688 Å, 90.00 90.00 90.00°
Positions (direct):
Ba (0.000, 0.000, 0.000)
Ni (0.500, 0.500, 0.500)
As (0.500, 0.500, 0.000)
Br (0.000, 0.500, 0.500)
Br (0.500, 0.000, 0.500)

ρ: 5.961 g/cm3
DFT total energy: -119.2 eV per cell
Crystal system: tetragonal
Total moment: 1.8 Bohr magnetons per cell
Energy relative to the elements, uncorrected: -0.8678 eV per atom

=====

This record from Alexandria describes a crystal of LaScPPt2 relaxed with PBEsol. The functional is SCAN.

Cell: 4.554 4.554 5.198 Å, 90.00 90.00 90.00°
Positions (direct):
La (0.000, 0.000, 0.000)
Sc (0.500, 0.500, 0.000)
P (0.000, 0.000, 0.500)
Pt (0.000, 0.500, 0.500)
Pt (0.500, 0.000, 0.500)

ρ: 9.318 g/cm3
DFT total energy: -209.9 eV per cell
Crystal system: tetragonal
Total moment: 0.0 Bohr magnetons per cell